Compound: MnBi3Sb
Source: the Alexandria database
Functional: GGA-PBE
Structure: optimized geometry

abc: 5.1586 5.1586 5.1586
angles: 90.00 90.00 90.00
Space group Pm-3m (No. 221)
Unique sites:
Mn: 0.0000 0.0000 0.0000 (multiplicity 1)
Bi: 0.0000 0.0000 0.5000 (multiplicity 3)
Sb: 0.5000 0.5000 0.5000 (multiplicity 1)

Calculated values
- relative energy among the computed polymorphs (meV per atom) = 0
- formation energy from raw total energies (eV per formula unit) = 2.258

=====

Compound: Ba2AgSnIr
Source: the Alexandria database
Functional: GGA-PBE
Structure: optimized geometry

abc: 6.1401 6.1401 5.0549
angles: 90.00 90.00 90.00
Space group P4/mmm (No. 123)
Unique sites:
Ba: 0.0000 0.5000 0.0000 (multiplicity 2)
Ag: 0.0000 0.0000 0.5000 (multiplicity 1)
Sn: 0.5000 0.5000 0.5000 (multiplicity 1)
Ir: 0.5000 0.5000 0.0000 (multiplicity 1)

Calculated values
- formation enthalpy at 0 K (eV per atom) = -0.221

=====

Compound: LiPrCu10
Source: the Alexandria database
Functional: GGA-PBE
Structure: optimized geometry

abc: 4.1068 4.9962 8.6590
angles: 90.00 90.00 90.00
Space group Pmmm (No. 47)
Unique sites:
Li: 0.0000 0.0000 0.0000 (multiplicity 1)
Pr: 0.0000 0.5000 0.5000 (multiplicity 1)
Cu: 0.0000 0.0000 0.3109 (multiplicity 2)
Cu: 0.0000 0.5000 0.1546 (multiplicity 2)
Cu: 0.5000 0.0000 0.5000 (multiplicity 1)
Cu: 0.5000 0.2509 0.2465 (multiplicity 4)
Cu: 0.5000 0.5000 0.0000 (multiplicity 1)

Calculated values
- formation enthalpy at 0 K (eV per atom) = -0.068

=====

Compound: Na3Be2RhO6
Source: the Alexandria database
Functional: GGA-PBE
Structure: optimized geometry

abc: 5.3354 5.3354 6.0280
angles: 90.00 90.00 120.00
Space group P-3m1 (No. 164)
Unique sites:
Na: 0.0000 0.0000 0.0000 (multiplicity 1)
Na: 0.3333 0.6667 0.7406 (multiplicity 2)
Be: 0.3333 0.6667 0.3034 (multiplicity 2)
Rh: 0.0000 0.0000 0.5000 (multiplicity 1)
O: 0.1688 0.3376 0.2958 (multiplicity 6)

Calculated values
- formation energy from raw total energies (eV per formula unit) = -18.522

=====

Number 1: DOS at the Fermi energy 2.95 states/eV/f.u.. Number 2: DOS at the Fermi energy 3.39 states/eV/f.u.. Number 3: DOS at the Fermi energy 5.55 states/eV/f.u.. Number 4: DOS at the Fermi energy 5.62 states/eV/f.u..